A plane-wave DFT calculation with PBE-GGA was carried out for a geometry-optimized TePdPb structure. Values from VASP.

Results
Magnetic moment ... 0.0 μB/cell
Total energy ... -0.1601 hartree per atom
Crystal system ... cubic
SG ... F-43m, No. 216
Raw formation energy ... -7.9 kcal/mol of atoms

```
&SYSTEM
  ibrav = 0, nat = 3, ntyp = 3
/
ATOMIC_SPECIES
Pb 207.20 Pb.upf
Te 127.60 Te.upf
Pd 106.42 Pd.upf
ATOMIC_POSITIONS angstrom
Pb 0.000 0.000 0.000
Te 1.669 -3.736 4.248
Pd 0.835 -1.868 2.124
CELL_PARAMETERS angstrom
-1.533 -2.744 3.648
2.146 -4.214 0.910
2.725 -0.513 3.937
```

---

A plane-wave DFT calculation with PBE-GGA was carried out for a geometry-optimized TlTePdPb2 structure. Values from VASP.

Results
Magnetic moment ... 0.0 μB/cell
Total energy ... -0.1375 hartree per atom
Crystal system ... tetragonal
SG ... P4/mmm, No. 123
Raw formation energy ... -2.7 kcal/mol of atoms

```
&SYSTEM
  ibrav = 0, nat = 5, ntyp = 4
/
ATOMIC_SPECIES
Pb 207.20 Pb.upf
Te 127.60 Te.upf
Tl 204.38 Tl.upf
Pd 106.42 Pd.upf
ATOMIC_POSITIONS angstrom
Pb 2.710 0.000 0.000
Te 2.710 2.710 2.664
Tl 0.000 0.000 2.664
Pd 0.000 0.000 0.000
Pb 0.000 2.710 0.000
CELL_PARAMETERS angstrom
5.419 0.000 0.000
0.000 5.419 0.000
0.000 0.000 5.327
```

---

A plane-wave DFT calculation with PBE-GGA was carried out for a geometry-optimized Tl2TePdPb structure. Values from VASP.

Results
Magnetic moment ... 0.0 μB/cell
Total energy ... -0.1292 hartree per atom
Crystal system ... tetragonal
SG ... P4/mmm, No. 123
Raw formation energy ... -3.7 kcal/mol of atoms

```
&SYSTEM
  ibrav = 0, nat = 5, ntyp = 4
/
ATOMIC_SPECIES
Te 127.60 Te.upf
Tl 204.38 Tl.upf
Pd 106.42 Pd.upf
Pb 207.20 Pb.upf
ATOMIC_POSITIONS angstrom
Te -3.871 -0.194 -2.582
Tl -0.122 -0.918 -2.500
Pd 0.000 0.000 0.000
Pb -2.276 -1.384 0.620
Tl -1.473 2.108 -0.702
CELL_PARAMETERS angstrom
-2.946 4.216 -1.404
-0.244 -1.836 -5.000
-4.552 -2.769 1.239
```

---

A plane-wave DFT calculation with PBE-GGA was carried out for a geometry-optimized UTe3PdPb structure. Values from VASP.

Results
Magnetic moment ... 4.1 μB/cell
Total energy ... -0.1995 hartree per atom
Crystal system ... monoclinic
SG ... P2_1/m, No. 11
Raw formation energy ... -11.4 kcal/mol of atoms

```
&SYSTEM
  ibrav = 0, nat = 12, ntyp = 4
/
ATOMIC_SPECIES
Te 127.60 Te.upf
Pd 106.42 Pd.upf
Pb 207.20 Pb.upf
U 238.03 U.upf
ATOMIC_POSITIONS angstrom
Te 3.242 0.877 5.608
Te 1.081 2.980 8.622
Pd 3.242 6.992 3.838
Te 1.081 5.266 4.442
Te 1.081 -1.334 8.919
Pb 3.242 5.623 6.764
U 1.081 5.344 1.454
U 3.242 0.799 8.596
Pb 1.081 0.520 3.286
Te 3.242 3.163 1.428
Pd 1.081 -0.850 6.212
Te 3.242 7.477 1.131
CELL_PARAMETERS angstrom
4.322 0.000 0.000
0.000 8.563 -0.218
0.000 -2.420 10.268
```